*i*
Entry from Alexandria: ZrScOs2 after structural relaxation (GGA-PBEsol).

Unit cell a=9.7633 b=9.7633 c=9.7633 alpha=16.88 beta=16.88 gamma=16.88
Closest atoms and distances in Å follow each position.
Atoms (fractional coordinates):
Zr 0.0000 0.0000 0.0000  6 Zr 2.87, 3 Os 2.97
Sc 0.2361 0.2361 0.2361  3 Os 2.84, 6 Sc 2.87
Os 0.4896 0.4896 0.4896  9 Os 2.63-2.87, 3 Sc 2.84
Os 0.7521 0.7521 0.7521  9 Os 2.63-2.87

Total magnetic moment: 0.000 μB/atom

---

*ii*
Entry from Alexandria: ZrScOs2 after structural relaxation (GGA-PBEsol).

Unit cell a=4.5372 b=4.5372 c=3.2138 alpha=90.00 beta=90.00 gamma=90.00
Closest atoms and distances in Å follow each position.
Atoms (fractional coordinates):
Zr 0.0000 0.0000 0.0000  8 Os 2.78
Sc 0.5000 0.5000 0.0000  8 Os 2.78
Os 0.0000 0.5000 0.5000  4 Zr 2.78, 4 Sc 2.78
Os 0.5000 0.0000 0.5000  4 Zr 2.78, 4 Sc 2.78

Total magnetic moment: 0.000 μB/atom

---

*iii*
Entry from Alexandria: ZrScOs2 after structural relaxation (GGA-PBEsol).

Unit cell a=5.4123 b=5.4123 c=5.4123 alpha=145.51 beta=131.42 gamma=60.94
Closest atoms and distances in Å follow each position.
Atoms (fractional coordinates):
Zr 0.0000 0.0000 0.0000  6 Os 2.75-2.81, 2 Sc 2.95
Sc 0.2649 0.7649 0.5000  6 Os 2.75-2.83, 2 Zr 2.95
Os 0.5146 0.5146 0.0000  2 Os 2.74, 4 Zr 2.75, 2 Sc 2.83
Os 0.7529 0.2529 0.5000  2 Os 2.74, 4 Sc 2.75, 2 Zr 2.81

Total magnetic moment: 0.000 μB/atom

---

*iv*
Entry from Alexandria: ZrScOs2 after structural relaxation (GGA-PBEsol).

Unit cell a=4.5102 b=4.5102 c=4.5102 alpha=60.00 beta=60.00 gamma=60.00
Closest atoms and distances in Å follow each position.
Atoms (fractional coordinates):
Zr 0.0000 0.0000 0.0000  4 Os 2.76, 4 Sc 2.76
Sc 0.2500 0.2500 0.2500  4 Os 2.76, 4 Zr 2.76
Os 0.5000 0.5000 0.5000  4 Os 2.76, 4 Sc 2.76
Os 0.7500 0.7500 0.7500  4 Zr 2.76, 4 Os 2.76

Total magnetic moment: 0.000 μB/atom

---

Going by the energies, *ii* is most stable and the next is 0.203 eV/atom up.

---

*i*
Entry from Alexandria: ZrScOs2 after structural relaxation (GGA-PBEsol).

Unit cell a=5.1771 b=5.1771 c=5.1771 alpha=143.93 beta=125.08 gamma=67.48
Closest atoms and distances in Å follow each position.
Atoms (fractional coordinates):
Zr 0.0000 0.0000 0.0000  4 Os 2.67, 4 Sc 2.88
Sc 0.5000 0.5000 0.0000  4 Os 2.70, 4 Zr 2.88
Os 0.2482 0.7482 0.5000  2 Zr 2.67, 2 Sc 2.70, 4 Os 2.88
Os 0.7518 0.2518 0.5000  2 Zr 2.67, 2 Sc 2.70, 4 Os 2.88

Total magnetic moment: 0.000 μB/atom

---

*ii*
Entry from Alexandria: ZrScOs2 after structural relaxation (GGA-PBEsol).

Unit cell a=4.5372 b=4.5372 c=4.5372 alpha=60.00 beta=60.00 gamma=60.00
Closest atoms and distances in Å follow each position.
Atoms (fractional coordinates):
Zr 0.0000 0.0000 0.0000  8 Os 2.78
Sc 0.5000 0.5000 0.5000  8 Os 2.78
Os 0.2500 0.2500 0.2500  4 Sc 2.78, 4 Zr 2.78
Os 0.7500 0.7500 0.7500  4 Sc 2.78, 4 Zr 2.78

Total magnetic moment: 0.000 μB/atom

---

Going by the energies, *ii* is most stable and the next is 0.364 eV/atom up.

---

*i*
Entry from Alexandria: Y2OsSe after structural relaxation (GGA-PBEsol).

Unit cell a=4.0096 b=4.0096 c=5.7096 alpha=90.00 beta=90.00 gamma=90.00
Closest atoms and distances in Å follow each position.
Atoms (fractional coordinates):
Y 0.0000 0.0000 0.0000  1 Os 2.60, 4 Se 2.86
Y 0.5000 0.5000 0.4303  4 Os 2.84, 2 Se 2.85-2.86
Os 0.0000 0.0000 0.4560  5 Y 2.60-2.84
Se 0.5000 0.5000 0.9302  6 Y 2.85-2.86

Total magnetic moment: 0.000 μB/atom

---

*ii*
Entry from Alexandria: Y2OsSe after structural relaxation (GGA-PBEsol).

Unit cell a=4.8873 b=4.8873 c=4.8873 alpha=120.12 beta=119.92 gamma=89.96
Closest atoms and distances in Å follow each position.
Atoms (fractional coordinates):
Y 0.2501 0.2501 0.0000  4 Os 2.99-3.00, 4 Se 2.99
Y 0.7499 0.7499 0.0000  4 Os 2.99-3.00, 4 Se 2.99
Os 0.5000 0.0000 0.5000  8 Y 2.99-3.00
Se 0.0000 0.5000 0.5000  8 Y 2.99

Total magnetic moment: 0.000 μB/atom

---

*iii*
Entry from Alexandria: Y2OsSe after structural relaxation (GGA-PBEsol).

Unit cell a=4.5025 b=5.5084 c=5.5084 alpha=38.05 beta=90.00 gamma=90.00
Closest atoms and distances in Å follow each position.
Atoms (fractional coordinates):
Y 0.0000 0.0000 0.0000  3 Se 2.88-2.94, 4 Os 2.91
Y 0.5000 0.2786 0.2786  3 Os 2.75-3.04, 4 Se 2.94
Os 0.5000 0.5430 0.5430  7 Y 2.75-3.04, 2 Se 2.93
Se 0.0000 0.7236 0.7236  7 Y 2.88-2.94, 2 Os 2.93

Total magnetic moment: 0.000 μB/atom

---

Going by the energies, *iii* is most stable and the next is 0.165 eV/atom up.

---

*i*
Entry from Alexandria: YOsSe2 after structural relaxation (GGA-PBEsol).

Unit cell a=4.7537 b=4.7537 c=4.7537 alpha=60.00 beta=60.00 gamma=60.00
Closest atoms and distances in Å follow each position.
Atoms (fractional coordinates):
Y 0.0000 0.0000 0.0000  4 Se 2.91, 4 Os 2.91
Os 0.2500 0.2500 0.2500  4 Se 2.91, 4 Y 2.91
Se 0.5000 0.5000 0.5000  4 Se 2.91, 4 Os 2.91
Se 0.7500 0.7500 0.7500  4 Se 2.91, 4 Y 2.91

Total magnetic moment: 0.243 μB/atom

---

*ii*
Entry from Alexandria: YOsSe2 after structural relaxation (GGA-PBEsol).

Unit cell a=5.8711 b=5.8711 c=5.8711 alpha=147.43 beta=136.42 gamma=55.45
Closest atoms and distances in Å follow each position.
Atoms (fractional coordinates):
Y 0.0000 0.0000 0.0000  6 Se 2.83-3.08, 2 Os 3.10
Os 0.2522 0.7522 0.5000  2 Se 2.47
Se 0.4293 0.4293 0.0000  2 Os 2.47
Se 0.7095 0.2095 0.5000  4 Os 2.77, 2 Y 3.08

Total magnetic moment: 0.000 μB/atom

---

Going by the energies, *ii* is most stable and the next is 0.640 eV/atom up.

---

*i*
Entry from Alexandria: SiTeOs2 after structural relaxation (GGA-PBEsol).

Unit cell a=4.4796 b=4.4796 c=4.4796 alpha=122.47 beta=122.47 gamma=85.78
Closest atoms and distances in Å follow each position.
Atoms (fractional coordinates):
Si 0.0000 0.0000 0.0000  8 Os 2.71
Te 0.5000 0.5000 0.0000  8 Os 2.71
Os 0.2500 0.7500 0.5000  4 Te 2.71, 4 Si 2.71
Os 0.7500 0.2500 0.5000  4 Te 2.71, 4 Si 2.71

Total magnetic moment: 0.000 μB/atom

---

*ii*
Entry from Alexandria: SiTeOs2 after structural relaxation (GGA-PBEsol).

Unit cell a=5.3074 b=5.3074 c=5.3074 alpha=147.71 beta=126.12 gamma=64.23
Closest atoms and distances in Å follow each position.
Atoms (fractional coordinates):
Si 0.0000 0.0000 0.0000  4 Os 2.40
Te 0.5000 0.5000 0.0000  4 Si 2.82, 2 Te 2.95, 8 Os 2.99-3.06
Os 0.2110 0.7110 0.5000  2 Si 2.40
Os 0.7890 0.2890 0.5000  2 Si 2.40

Total magnetic moment: 0.000 μB/atom

---

*iii*
Entry from Alexandria: SiTeOs2 after structural relaxation (GGA-PBEsol).

Unit cell a=4.3571 b=4.3571 c=3.2277 alpha=90.00 beta=90.00 gamma=90.00
Closest atoms and distances in Å follow each position.
Atoms (fractional coordinates):
Si 0.0000 0.0000 0.0000  8 Os 2.71
Te 0.5000 0.5000 0.0000  8 Os 2.71
Os 0.0000 0.5000 0.5000  4 Te 2.71, 4 Si 2.71
Os 0.5000 0.0000 0.5000  4 Te 2.71, 4 Si 2.71

Total magnetic moment: 0.000 μB/atom

---

Going by the energies, *i* is most stable and the next is 0.009 eV/atom up.

---

*i*
Entry from Alexandria: Tl2SiOs after structural relaxation (GGA-PBEsol).

Unit cell a=5.0578 b=5.0578 c=5.0578 alpha=129.60 beta=129.60 gamma=74.05
Closest atoms and distances in Å follow each position.
Atoms (fractional coordinates):
Tl 0.0000 0.0000 0.0000  4 Tl 2.95, 4 Si 2.95, 4 Os 3.05
Tl 0.7500 0.2500 0.5000  4 Tl 2.95, 4 Os 2.95, 4 Si 3.05
Si 0.2500 0.7500 0.5000  8 Tl 2.95-3.05, 4 Os 2.95
Os 0.5000 0.5000 0.0000  8 Tl 2.95-3.05, 4 Si 2.95

Total magnetic moment: 0.000 μB/atom

---

*ii*
Entry from Alexandria: Tl2SiOs after structural relaxation (GGA-PBEsol).

Unit cell a=5.5873 b=5.5873 c=3.3361 alpha=105.76 beta=105.76 gamma=119.31
Closest atoms and distances in Å follow each position.
Atoms (fractional coordinates):
Tl 0.0000 0.5000 0.0000  4 Tl 2.82-3.00, 2 Os 2.84, 2 Si 2.84
Tl 0.5000 0.0000 0.0000  4 Tl 2.82-3.00, 2 Os 2.84, 2 Si 2.84
Si 0.0000 0.0000 0.5000  4 Os 2.82-3.00, 4 Tl 2.84
Os 0.5000 0.5000 0.5000  4 Si 2.82-3.00, 4 Tl 2.84

Total magnetic moment: 0.000 μB/atom

---

Going by the energies, *i* is most stable and the next is 0.026 eV/atom up.